w:
VASP calculation (PBE) on TaIn3Os after structural relaxation.

crystal system = cubic

CIF file:
```
data_TaIn3Os
_cell_length_a 5.078
_cell_length_b 5.078
_cell_length_c 5.078
_cell_angle_alpha 90.00
_cell_angle_beta 90.00
_cell_angle_gamma 90.00
_space_group_name_H-M_alt 'P m -3 m'
_space_group_IT_number 221
_space_group_name_Hall '-P 4 2 3'
loop_
_atom_site_label
_atom_site_type_symbol
_atom_site_fract_x
_atom_site_fract_y
_atom_site_fract_z
Ta1 Ta 0.000 0.000 0.000
In1 In 0.000 0.500 0.500
Os1 Os 0.500 0.500 0.500
```

---

x:
VASP calculation (PBE) on TaIn3Os after structural relaxation.

crystal system = cubic

CIF file:
```
data_TaIn3Os
_cell_length_a 5.310
_cell_length_b 5.310
_cell_length_c 5.310
_cell_angle_alpha 90.00
_cell_angle_beta 90.00
_cell_angle_gamma 90.00
_space_group_name_H-M_alt 'P m -3 m'
_space_group_IT_number 221
_space_group_name_Hall '-P 4 2 3'
loop_
_atom_site_label
_atom_site_type_symbol
_atom_site_fract_x
_atom_site_fract_y
_atom_site_fract_z
Ta1 Ta 0.000 0.000 0.000
In1 In 0.000 0.000 0.500
Os1 Os 0.500 0.500 0.500
```

---

The least stable of them is x.

---

w:
VASP calculation (PBE) on Tb3InOs after structural relaxation.

crystal system = monoclinic

CIF file:
```
data_Tb3InOs
_cell_length_a 13.005
_cell_length_b 5.294
_cell_length_c 8.523
_cell_angle_alpha 90.00
_cell_angle_beta 114.20
_cell_angle_gamma 90.00
_space_group_name_H-M_alt 'C 1 2/m 1'
_space_group_IT_number 12
loop_
_space_group_symop_operation_xyz
'x,y,z'
'-x,-y,-z'
'-x,y,-z'
'x,-y,z'
'x+1/2,y+1/2,z'
'-x+1/2,-y+1/2,-z'
'-x+1/2,y+1/2,-z'
'x+1/2,-y+1/2,z'
loop_
_atom_site_label
_atom_site_type_symbol
_atom_site_fract_x
_atom_site_fract_y
_atom_site_fract_z
Tb1 Tb 0.068 0.000 0.235
Tb2 Tb 0.091 0.500 0.873
Tb3 Tb 0.225 0.000 0.732
In1 In 0.125 0.500 0.502
Os1 Os 0.178 0.000 0.024
```

---

x:
VASP calculation (PBE) on Tb3InOs after structural relaxation.

crystal system = orthorhombic

CIF file:
```
data_Tb3InOs
_cell_length_a 6.588
_cell_length_b 9.674
_cell_length_c 16.288
_cell_angle_alpha 90.00
_cell_angle_beta 90.00
_cell_angle_gamma 90.00
_space_group_name_H-M_alt 'F m m m'
_space_group_IT_number 69
_space_group_name_Hall '-F 2 2'
loop_
_atom_site_label
_atom_site_type_symbol
_atom_site_fract_x
_atom_site_fract_y
_atom_site_fract_z
Tb1 Tb 0.000 0.000 0.201
Tb2 Tb 0.000 0.192 0.389
In1 In 0.209 0.000 0.000
Os1 Os 0.250 0.250 0.250
```

---

The least stable of them is w.

---

w:
VASP calculation (PBE) on InTcOs after structural relaxation.

crystal system = tetragonal

CIF file:
```
data_InTcOs
_cell_length_a 2.907
_cell_length_b 2.907
_cell_length_c 11.705
_cell_angle_alpha 90.00
_cell_angle_beta 90.00
_cell_angle_gamma 90.00
_space_group_name_H-M_alt 'I 4 m m'
_space_group_IT_number 107
_space_group_name_Hall 'I 4 -2'
loop_
_atom_site_label
_atom_site_type_symbol
_atom_site_fract_x
_atom_site_fract_y
_atom_site_fract_z
In1 In 0.000 0.000 0.000
Tc1 Tc 0.000 0.000 0.317
Os1 Os 0.000 0.000 0.682
```

---

x:
VASP calculation (PBE) on InTcOs after structural relaxation.

crystal system = cubic

CIF file:
```
data_InTcOs
_cell_length_a 6.107
_cell_length_b 6.107
_cell_length_c 6.107
_cell_angle_alpha 90.00
_cell_angle_beta 90.00
_cell_angle_gamma 90.00
_space_group_name_H-M_alt 'F -4 3 m'
_space_group_IT_number 216
_space_group_name_Hall 'F -4 2 3'
loop_
_atom_site_label
_atom_site_type_symbol
_atom_site_fract_x
_atom_site_fract_y
_atom_site_fract_z
In1 In 0.000 0.000 0.000
Tc1 Tc 0.000 0.000 0.500
Os1 Os 0.250 0.250 0.250
```

---

y:
VASP calculation (PBE) on InTcOs after structural relaxation.

crystal system = orthorhombic

CIF file:
```
data_InTcOs
_cell_length_a 2.939
_cell_length_b 4.897
_cell_length_c 13.961
_cell_angle_alpha 90.00
_cell_angle_beta 90.00
_cell_angle_gamma 90.00
_space_group_name_H-M_alt 'F m m 2'
_space_group_IT_number 42
_space_group_name_Hall 'F 2 -2'
loop_
_atom_site_label
_atom_site_type_symbol
_atom_site_fract_x
_atom_site_fract_y
_atom_site_fract_z
In1 In 0.000 0.000 0.000
Tc1 Tc 0.000 0.000 0.325
Os1 Os 0.000 0.000 0.675
```

---

The least stable of them is y.